# 1
Li2Y3PuSe6 | GGA-PBE | optimized geometry

a b c (Å): 9.134 9.134 8.141
angles (deg): 102.93 102.93 25.81
Fractional coordinates of all 12 atoms:
Li  0.176  0.176  0.351
Li  0.824  0.824  0.649
Y  0.167  0.167  0.832
Y  0.500  0.500  0.500
Y  0.833  0.833  0.168
Pu  0.500  0.500  0.000
Se  0.002  0.002  0.254
Se  0.331  0.331  0.912
Se  0.333  0.333  0.419
Se  0.667  0.667  0.581
Se  0.669  0.669  0.088
Se  0.998  0.998  0.746

Values from the calculation:
Symmetry: C2/m
Formation energy (no corrections), meV/atom: -1683

=====

# 2
Rb2TmNpSe4 | GGA-PBE | optimized geometry

a b c (Å): 7.391 4.251 8.348
angles (deg): 90.00 107.12 90.00
Fractional coordinates of all 8 atoms:
Rb  0.000  0.000  0.000
Rb  0.500  0.500  0.000
Tm  0.000  0.500  0.500
Np  0.500  0.000  0.500
Se  0.224  0.000  0.694
Se  0.262  0.500  0.305
Se  0.738  0.500  0.695
Se  0.776  0.000  0.306

Values from the calculation:
Symmetry: P2/m
Formation energy (no corrections), meV/atom: -1466

=====

# 3
FeCo2TcH | GGA-PBE | optimized geometry

a b c (Å): 3.598 3.598 3.684
angles (deg): 90.00 90.00 90.00
Fractional coordinates of all 5 atoms:
Fe  0.000  0.000  0.000
Co  0.000  0.500  0.500
Co  0.500  0.000  0.500
Tc  0.500  0.500  0.000
H  0.000  0.000  0.500

Values from the calculation:
Symmetry: P4/mmm
Offset from the most stable computed form, eV/atom: 0.000

=====

# 4
ZnCr2Ir3 | GGA-PBE | optimized geometry

a b c (Å): 2.726 2.726 10.917
angles (deg): 90.00 90.00 90.00
Fractional coordinates of all 6 atoms:
Zn  0.000  0.000  0.000
Cr  0.000  0.000  0.332
Cr  0.000  0.000  0.668
Ir  0.500  0.500  0.178
Ir  0.500  0.500  0.500
Ir  0.500  0.500  0.822

Values from the calculation:
Symmetry: P4/mmm

=====

no.,total magnetization (μB/f.u.),E_tot (eV per atom)
1,6.12,-6.5546
2,4.00,-5.6272
3,2.04,-7.1787
4,0.00,-8.0700